Entry 1:
ZnRe2Ni after structural relaxation. Source: Alexandria via LeMat-Bulk, functional PBE.

Cell and atoms, written as POSCAR:
```
ZnRe2Ni
1.0
2.714 0.000 0.000
0.000 3.862 0.000
0.000 0.000 5.308
Re Zn Ni
2 1 1
direct
0.500 0.500 0.238 Re
0.000 0.000 0.011 Re
0.000 0.000 0.519 Zn
0.500 0.500 0.732 Ni
```

Results
ΔH_f (0 K) = 0.118 eV/atom

Entry 2:
MnBTeI2 after structural relaxation. Source: Alexandria via LeMat-Bulk, functional PBE.

Cell and atoms, written as POSCAR:
```
MnBTeI2
1.0
-3.189 5.000 -2.381
-0.091 -1.952 -3.976
-5.536 -2.813 1.509
I Mn B Te
2 1 1 1
direct
0.500 0.000 0.000 I
0.000 0.000 0.500 I
0.500 0.500 0.500 Mn
0.000 0.500 0.000 B
0.000 0.000 0.000 Te
```

Results
Formation energy without anion corrections = 1.21 eV/atom
Excess energy over the best structure of this formula in the dataset = 7.68 kcal/mol of atoms

Entry 3:
SrPtSe2 after structural relaxation. Source: Alexandria via LeMat-Bulk, functional PBE.

Cell and atoms, written as POSCAR:
```
SrPtSe2
1.0
-1.382 -5.107 2.875
2.828 -3.855 3.660
-1.021 0.752 4.278
Pt Se Sr
1 2 1
direct
0.188 0.188 0.437 Pt
0.791 0.791 0.334 Se
0.084 0.084 0.040 Se
0.437 0.437 0.689 Sr
```

Results
Formation energy without anion corrections = -0.94 eV/atom
Excess energy over the best structure of this formula in the dataset = 1.66 kcal/mol of atoms

Entry 4:
Ag2SnSb after structural relaxation. Source: Alexandria via LeMat-Bulk, functional PBE.

Cell and atoms, written as POSCAR:
```
Ag2SnSb
1.0
3.670 0.000 0.000
0.000 3.670 0.000
0.000 0.000 6.780
Sn Ag Sb
1 2 1
direct
0.500 0.500 0.500 Sn
0.000 0.000 0.249 Ag
0.000 0.000 0.751 Ag
0.500 0.500 0.000 Sb
```

Results
Formation energy without anion corrections = 0.13 eV/atom

Entry 5:
Dy3Ga7Pt2 after structural relaxation. Source: Alexandria via LeMat-Bulk, functional PBE.

Cell and atoms, written as POSCAR:
```
Dy3Ga7Pt2
1.0
-2.599 -3.220 -0.746
0.755 -1.511 3.888
-10.530 7.850 2.813
Pt Dy Ga
2 3 7
direct
0.500 0.632 0.265 Pt
0.500 0.368 0.735 Pt
0.000 0.817 0.640 Dy
0.000 0.183 0.360 Dy
0.500 0.500 0.000 Dy
0.500 0.275 0.549 Ga
0.500 0.081 0.162 Ga
0.500 0.725 0.451 Ga
0.500 0.919 0.838 Ga
0.000 0.416 0.839 Ga
0.000 0.584 0.161 Ga
0.000 0.000 0.000 Ga
```

Results
ΔH_f (0 K) = -0.763 eV/atom

Entry 6:
CaAsP after structural relaxation. Source: Alexandria via LeMat-Bulk, functional PBE.

Cell and atoms, written as POSCAR:
```
CaAsP
1.0
-3.603 0.526 -4.443
-2.461 -9.195 0.908
-2.223 1.085 4.966
P As Ca
4 4 4
direct
0.786 0.324 0.910 P
0.214 0.824 0.590 P
0.786 0.824 0.410 P
0.214 0.324 0.090 P
0.739 0.043 0.601 As
0.739 0.543 0.101 As
0.261 0.543 0.899 As
0.261 0.043 0.399 As
0.000 0.804 0.000 Ca
0.500 0.567 0.500 Ca
0.000 0.304 0.500 Ca
0.500 0.067 0.000 Ca
```

Results
Excess energy over the best structure of this formula in the dataset = 0.00 kcal/mol of atoms
ΔH_f (0 K) = -0.725 eV/atom

Entry 7:
TaNbRhBr2 after structural relaxation. Source: Alexandria via LeMat-Bulk, functional PBE.

Cell and atoms, written as POSCAR:
```
TaNbRhBr2
1.0
-3.238 3.202 1.940
-0.570 -3.045 4.075
3.703 2.362 2.283
Nb Rh Br Ta
1 1 2 1
direct
0.000 0.000 0.000 Nb
0.500 0.500 0.500 Rh
0.000 0.000 0.500 Br
0.500 0.000 0.000 Br
0.000 0.500 0.000 Ta
```

Results
Formation energy without anion corrections = 1.35 eV/atom

Entry 8:
Ta2AlRh after structural relaxation. Source: Alexandria via LeMat-Bulk, functional PBE.

Cell and atoms, written as POSCAR:
```
Ta2AlRh
1.0
4.531 0.000 0.000
2.266 3.924 0.000
2.266 1.308 3.700
Ta Al Rh
2 1 1
direct
0.250 0.250 0.250 Ta
0.000 0.000 0.000 Ta
0.500 0.500 0.500 Al
0.750 0.750 0.750 Rh
```

Results
ΔH_f (0 K) = -0.149 eV/atom

Entry 9:
HoNp2Si6 after structural relaxation. Source: Alexandria via LeMat-Bulk, functional PBE.

Cell and atoms, written as POSCAR:
```
HoNp2Si6
1.0
3.822 0.000 0.000
0.000 6.086 -3.514
0.000 0.000 7.027
Si Np Ho
6 2 1
direct
0.500 0.334 0.000 Si
0.500 0.666 0.000 Si
0.500 0.334 0.334 Si
0.500 0.000 0.334 Si
0.500 0.000 0.666 Si
0.500 0.666 0.666 Si
0.000 0.667 0.333 Np
0.000 0.333 0.667 Np
0.000 0.000 0.000 Ho
```

Results
Formation energy without anion corrections = -0.36 eV/atom

Entry 10:
BaOs2Rh after structural relaxation. Source: Alexandria via LeMat-Bulk, functional PBE.

Cell and atoms, written as POSCAR:
```
BaOs2Rh
1.0
1.115 3.181 3.346
-3.418 2.571 2.065
-1.172 -0.810 4.531
Os Ba Rh
2 1 1
direct
0.750 0.750 0.750 Os
0.250 0.250 0.250 Os
0.500 0.500 0.500 Ba
0.000 0.000 0.000 Rh
```

Results
Excess energy over the best structure of this formula in the dataset = 28.67 kcal/mol of atoms
ΔH_f (0 K) = 1.557 eV/atom

Entry 11:
Al2Ni2Pb after structural relaxation. Source: Alexandria via LeMat-Bulk, functional PBE.

Cell and atoms, written as POSCAR:
```
Al2Ni2Pb
1.0
-7.124 -1.116 -1.976
1.923 -6.423 -3.307
-0.462 -1.403 2.456
Al Ni Pb
4 4 2
direct
0.870 0.630 0.000 Al
0.130 0.370 0.000 Al
0.370 0.870 0.000 Al
0.630 0.130 0.000 Al
0.846 0.346 0.500 Ni
0.346 0.154 0.500 Ni
0.654 0.846 0.500 Ni
0.154 0.654 0.500 Ni
0.500 0.500 0.000 Pb
0.000 0.000 0.000 Pb
```

Results
ΔH_f (0 K) = -0.088 eV/atom

Entry 12:
NdH2PdO4 after structural relaxation. Source: Alexandria via LeMat-Bulk, functional PBE.

Cell and atoms, written as POSCAR:
```
NdH2PdO4
1.0
-2.598 3.633 -2.107
-4.596 -0.710 -1.343
-3.004 2.735 2.632
O Pd H Nd
4 1 2 1
direct
0.594 0.582 0.821 O
0.406 0.179 0.418 O
0.997 0.418 0.179 O
0.003 0.821 0.582 O
0.500 0.500 0.500 Pd
0.196 0.304 0.304 H
0.804 0.696 0.696 H
0.000 0.000 0.000 Nd
```

Results
DFT total energy = -47.38 eV for the cell shown